Density functional theory data (PBE) for crystalline PmHoTe2 at its relaxed geometry.

Values from the calculation:
D(E_F) in states/eV/atom: 0.8166
Energy relative to the elements, uncorrected in meV/atom: -1205
Space-group type: Fm-3m, No. 225
E above lowest polymorph in meV per atom: 154.5
Total DFT energy (no corrections) in eV per atom: -5.1078

abc: 5.3933 5.3933 5.3933
angles: 60.00 60.00 60.00
Last column: nearest neighbours and their distance in Å.
Sites, in units of the cell vectors:
Pm 0.0000 0.0000 0.0000  8 Te 3.30
Ho 0.5000 0.5000 0.5000  8 Te 3.30
Te 0.2500 0.2500 0.2500  4 Ho 3.30, 4 Pm 3.30
Te 0.7500 0.7500 0.7500  4 Ho 3.30, 4 Pm 3.30

---

Density functional theory data (PBE) for crystalline Pm3HoTe at its relaxed geometry.

Values from the calculation:
D(E_F) in states/eV/atom: 1.2907
Energy relative to the elements, uncorrected in meV/atom: -368
Space-group type: C2/m, No. 12
Total DFT energy (no corrections) in eV per atom: -4.7624

abc: 6.7722 6.7722 9.3629
angles: 95.83 95.83 51.80
Last column: nearest neighbours and their distance in Å.
Sites, in units of the cell vectors:
Pm 0.0565 0.0565 0.3454  2 Te 3.15-3.33, 2 Pm 3.34-3.50, 2 Ho 3.46
Pm 0.1412 0.1412 0.9567  1 Te 3.23, 1 Pm 3.50
Pm 0.3684 0.3684 0.3702  3 Te 3.12-3.28, 1 Ho 3.37
Pm 0.6316 0.6316 0.6298  3 Te 3.12-3.28, 1 Ho 3.37
Pm 0.8588 0.8588 0.0433  1 Te 3.23, 1 Pm 3.50
Pm 0.9435 0.9435 0.6546  2 Te 3.15-3.33, 2 Pm 3.34-3.50, 2 Ho 3.46
Ho 0.4264 0.4264 0.8429  1 Te 3.04, 1 Ho 3.27, 1 Pm 3.37
Ho 0.5736 0.5736 0.1571  1 Te 3.04, 1 Ho 3.27, 1 Pm 3.37
Te 0.2147 0.2147 0.6364  1 Ho 3.04, 6 Pm 3.12-3.33
Te 0.7853 0.7853 0.3636  1 Ho 3.04, 6 Pm 3.12-3.33

---

Density functional theory data (PBE) for crystalline PmHo2Te at its relaxed geometry.

Values from the calculation:
D(E_F) in states/eV/atom: 1.3478
Energy relative to the elements, uncorrected in meV/atom: -655
Space-group type: Cmcm, No. 63
E above lowest polymorph in meV per atom: 0.0
Total DFT energy (no corrections) in eV per atom: -4.9168

abc: 6.4030 6.4030 9.8805
angles: 90.00 90.00 143.90
Last column: nearest neighbours and their distance in Å.
Sites, in units of the cell vectors:
Pm 0.0549 0.9451 0.7500  3 Te 3.27-3.49, 4 Ho 3.58
Pm 0.9451 0.0549 0.2500  3 Te 3.27-3.49, 4 Ho 3.58
Ho 0.3640 0.6360 0.5349  3 Te 3.13-3.24, 3 Ho 3.38-3.48
Ho 0.3640 0.6360 0.9651  3 Te 3.13-3.24, 3 Ho 3.38-3.48
Ho 0.6360 0.3640 0.0349  3 Te 3.13-3.24, 3 Ho 3.38-3.48
Ho 0.6360 0.3640 0.4651  3 Te 3.13-3.24, 3 Ho 3.38-3.48
Te 0.2320 0.7680 0.2500  6 Ho 3.13-3.24, 3 Pm 3.27-3.49
Te 0.7680 0.2320 0.7500  6 Ho 3.13-3.24, 3 Pm 3.27-3.49

---

Density functional theory data (PBE) for crystalline PmHoTe2 at its relaxed geometry.

Values from the calculation:
D(E_F) in states/eV/atom: 0.5830
Energy relative to the elements, uncorrected in meV/atom: -1330
Space-group type: R-3m, No. 166
E above lowest polymorph in meV per atom: 29.0
Total DFT energy (no corrections) in eV per atom: -5.2333

abc: 7.7041 7.7041 7.7041
angles: 32.98 32.98 32.98
Last column: nearest neighbours and their distance in Å.
Sites, in units of the cell vectors:
Pm 0.0000 0.0000 0.0000  6 Te 3.16
Ho 0.5000 0.5000 0.5000  6 Te 3.06
Te 0.2462 0.2462 0.2462  3 Ho 3.06, 3 Pm 3.16
Te 0.7538 0.7538 0.7538  3 Ho 3.06, 3 Pm 3.16

---

Density functional theory data (PBE) for crystalline Pm6HoTe8 at its relaxed geometry.

Values from the calculation:
D(E_F) in states/eV/atom: 0.4792
Energy relative to the elements, uncorrected in meV/atom: -1437
Space-group type: Fm-3m, No. 225
Total DFT energy (no corrections) in eV per atom: -5.3184

abc: 8.8898 8.8898 8.8898
angles: 60.00 60.00 60.00
Last column: nearest neighbours and their distance in Å.
Sites, in units of the cell vectors:
Pm 0.0000 0.0000 0.5000  6 Te 3.14
Pm 0.0000 0.5000 0.0000  6 Te 3.14
Pm 0.0000 0.5000 0.5000  6 Te 3.14
Pm 0.5000 0.0000 0.0000  6 Te 3.14
Pm 0.5000 0.0000 0.5000  6 Te 3.14
Pm 0.5000 0.5000 0.0000  6 Te 3.14
Ho 0.0000 0.0000 0.0000  6 Te 3.14
Te 0.2500 0.2500 0.2500  6 Pm 3.14
Te 0.2500 0.2500 0.7500  1 Ho 3.14, 4 Pm 3.14
Te 0.2500 0.7500 0.2500  1 Ho 3.14, 4 Pm 3.14
Te 0.2500 0.7500 0.7500  1 Ho 3.14, 4 Pm 3.14
Te 0.7500 0.2500 0.2500  1 Ho 3.14, 4 Pm 3.14
Te 0.7500 0.2500 0.7500  1 Ho 3.14, 4 Pm 3.14
Te 0.7500 0.7500 0.2500  1 Ho 3.14, 4 Pm 3.14
Te 0.7500 0.7500 0.7500  6 Pm 3.14

---

Density functional theory data (PBE) for crystalline PmHoTe2 at its relaxed geometry.

Values from the calculation:
D(E_F) in states/eV/atom: 0.8802
Energy relative to the elements, uncorrected in meV/atom: -1212
Space-group type: P4/mmm, No. 123
E above lowest polymorph in meV per atom: 147.5
Total DFT energy (no corrections) in eV per atom: -5.1148

abc: 5.3908 5.3908 3.8114
angles: 90.00 90.00 90.00
Last column: nearest neighbours and their distance in Å.
Sites, in units of the cell vectors:
Pm 0.0000 0.0000 0.0000  8 Te 3.30
Ho 0.5000 0.5000 0.0000  8 Te 3.30
Te 0.0000 0.5000 0.5000  4 Ho 3.30, 4 Pm 3.30
Te 0.5000 0.0000 0.5000  4 Ho 3.30, 4 Pm 3.30

---

Density functional theory data (PBE) for crystalline PmHo5Te6 at its relaxed geometry.

Values from the calculation:
D(E_F) in states/eV/atom: 0.4538
Energy relative to the elements, uncorrected in meV/atom: -1275
Space-group type: C2/m, No. 12
Total DFT energy (no corrections) in eV per atom: -5.1486

abc: 7.5537 7.5537 7.5268
angles: 99.56 99.56 119.98
Last column: nearest neighbours and their distance in Å.
Sites, in units of the cell vectors:
Pm 0.0000 0.0000 0.0000  6 Te 3.12-3.17
Ho 0.1564 0.8436 0.5000  6 Te 3.03-3.09
Ho 0.3338 0.6662 0.0000  6 Te 3.04-3.08
Ho 0.5000 0.5000 0.5000  6 Te 3.03-3.09
Ho 0.6662 0.3338 0.0000  6 Te 3.04-3.08
Ho 0.8436 0.1564 0.5000  6 Te 3.03-3.09
Te 0.0850 0.4284 0.2569  5 Ho 3.08-3.09, 1 Pm 3.17
Te 0.2601 0.2601 0.7525  5 Ho 3.03-3.04, 1 Pm 3.12
Te 0.4284 0.0850 0.2569  5 Ho 3.08-3.09, 1 Pm 3.17
Te 0.5716 0.9150 0.7431  5 Ho 3.08-3.09, 1 Pm 3.17
Te 0.7399 0.7399 0.2475  5 Ho 3.03-3.04, 1 Pm 3.12
Te 0.9150 0.5716 0.7431  5 Ho 3.08-3.09, 1 Pm 3.17

---

Density functional theory data (PBE) for crystalline Pm2HoTe4 at its relaxed geometry.

Values from the calculation:
D(E_F) in states/eV/atom: 0.2896
Energy relative to the elements, uncorrected in meV/atom: -1432
Space-group type: Imma, No. 74
E above lowest polymorph in meV per atom: 0.0
Total DFT energy (no corrections) in eV per atom: -5.2383

abc: 8.7565 8.7565 8.7565
angles: 119.52 119.37 90.97
Last column: nearest neighbours and their distance in Å.
Sites, in units of the cell vectors:
Pm 0.0000 0.0000 0.0000  6 Te 3.11-3.16
Pm 0.5000 0.0000 0.0000  6 Te 3.16-3.20
Pm 0.5000 0.0000 0.5000  6 Te 3.11-3.16
Pm 0.5000 0.5000 0.5000  6 Te 3.16-3.20
Ho 0.0000 0.5000 0.5000  6 Te 3.03-3.09
Ho 0.5000 0.5000 0.0000  6 Te 3.03-3.09
Te 0.2395 0.2459 0.5064  2 Ho 3.09, 3 Pm 3.16-3.20
Te 0.2395 0.7332 0.9936  2 Ho 3.09, 3 Pm 3.16-3.20
Te 0.2404 0.7467 0.4937  1 Ho 3.03, 3 Pm 3.11-3.16
Te 0.2470 0.2533 0.9937  1 Ho 3.03, 3 Pm 3.11-3.16
Te 0.7530 0.7467 0.0063  1 Ho 3.03, 3 Pm 3.11-3.16
Te 0.7596 0.2533 0.5063  1 Ho 3.03, 3 Pm 3.11-3.16
Te 0.7605 0.2668 0.0064  2 Ho 3.09, 3 Pm 3.16-3.20
Te 0.7605 0.7541 0.4936  2 Ho 3.09, 3 Pm 3.16-3.20

---

Density functional theory data (PBE) for crystalline PmHoTe2 at its relaxed geometry.

Values from the calculation:
D(E_F) in states/eV/atom: 0.3385
Energy relative to the elements, uncorrected in meV/atom: -1359
Space-group type: R3m, No. 160
E above lowest polymorph in meV per atom: 0.0
Total DFT energy (no corrections) in eV per atom: -5.2623

abc: 8.0440 8.0440 8.0440
angles: 30.80 30.80 30.80
Last column: nearest neighbours and their distance in Å.
Sites, in units of the cell vectors:
Pm 0.0000 0.0000 0.0000  6 Te 3.13-3.23
Ho 0.1742 0.1742 0.1742  6 Te 3.01-3.12
Te 0.5830 0.5830 0.5830  3 Ho 3.01, 3 Pm 3.13
Te 0.7575 0.7575 0.7575  3 Ho 3.12, 3 Pm 3.23

---

Density functional theory data (PBE) for crystalline PmHo3Te6 at its relaxed geometry.

Values from the calculation:
Energy relative to the elements, uncorrected in meV/atom: -1392
Space-group type: P2_1/m, No. 11
Total DFT energy (no corrections) in eV per atom: -5.1253

abc: 12.4689 4.3688 12.8082
angles: 90.00 109.34 90.00
Last column: nearest neighbours and their distance in Å.
Sites, in units of the cell vectors:
Pm 0.0465 0.2500 0.1968  8 Te 3.23-3.34
Pm 0.9535 0.7500 0.8032  8 Te 3.23-3.34
Ho 0.1557 0.2500 0.5819  6 Te 2.99-3.08
Ho 0.3172 0.7500 0.9983  7 Te 3.03-3.29
Ho 0.4344 0.2500 0.3344  6 Te 3.04-3.11
Ho 0.5656 0.7500 0.6656  6 Te 3.04-3.11
Ho 0.6828 0.2500 0.0017  7 Te 3.03-3.29
Ho 0.8443 0.7500 0.4181  6 Te 2.99-3.08
Te 0.0846 0.7500 0.4025  3 Ho 3.07-3.08, 2 Pm 3.33
Te 0.1144 0.2500 0.9678  3 Pm 3.23-3.31, 2 Ho 3.27
Te 0.1946 0.7500 0.7503  3 Ho 2.99-3.03, 1 Pm 3.29
Te 0.2565 0.7500 0.2220  3 Ho 3.11-3.20, 2 Pm 3.34
Te 0.3919 0.2500 0.5603  4 Ho 3.05-3.11
Te 0.4829 0.2500 0.1171  4 Ho 3.04-3.29
Te 0.5171 0.7500 0.8829  4 Ho 3.04-3.29
Te 0.6081 0.7500 0.4397  4 Ho 3.05-3.11
Te 0.7435 0.2500 0.7780  3 Ho 3.11-3.20, 2 Pm 3.34
Te 0.8054 0.2500 0.2497  3 Ho 2.99-3.03, 1 Pm 3.29
Te 0.8856 0.7500 0.0322  3 Pm 3.23-3.31, 2 Ho 3.27
Te 0.9154 0.2500 0.5975  3 Ho 3.07-3.08, 2 Pm 3.33

---

Density functional theory data (PBE) for crystalline PmHoTe at its relaxed geometry.

Values from the calculation:
D(E_F) in states/eV/atom: 0.8169
Energy relative to the elements, uncorrected in meV/atom: -818
Space-group type: Cmce, No. 64
E above lowest polymorph in meV per atom: 0.0
Total DFT energy (no corrections) in eV per atom: -4.9745

abc: 9.1802 9.1802 6.2288
angles: 90.00 90.00 39.67
Last column: nearest neighbours and their distance in Å.
Sites, in units of the cell vectors:
Pm 0.2490 0.7510 0.7510  4 Pm 3.11, 4 Te 3.31
Pm 0.2510 0.7490 0.2510  4 Pm 3.11, 4 Te 3.31
Pm 0.7490 0.2510 0.7490  4 Pm 3.11, 4 Te 3.31
Pm 0.7510 0.2490 0.2490  4 Pm 3.11, 4 Te 3.31
Ho 0.1795 0.1795 0.0000  5 Te 3.07-3.18
Ho 0.3205 0.3205 0.5000  5 Te 3.07-3.18
Ho 0.6795 0.6795 0.5000  5 Te 3.07-3.18
Ho 0.8205 0.8205 0.0000  5 Te 3.07-3.18
Te 0.1430 0.1430 0.5000  5 Ho 3.07-3.18, 4 Pm 3.31
Te 0.3570 0.3570 0.0000  5 Ho 3.07-3.18, 4 Pm 3.31
Te 0.6430 0.6430 0.0000  5 Ho 3.07-3.18, 4 Pm 3.31
Te 0.8570 0.8570 0.5000  5 Ho 3.07-3.18, 4 Pm 3.31

---

Density functional theory data (PBE) for crystalline PmHo5Te4 at its relaxed geometry.

Values from the calculation:
D(E_F) in states/eV/atom: 0.8519
Energy relative to the elements, uncorrected in meV/atom: -891
Space-group type: C2/m, No. 12
Total DFT energy (no corrections) in eV per atom: -4.9112

abc: 9.3787 9.3787 8.5297
angles: 102.79 102.79 25.72
Last column: nearest neighbours and their distance in Å.
Sites, in units of the cell vectors:
Pm 0.0000 0.0000 0.0000  6 Te 3.04-3.06
Ho 0.0000 0.0000 0.5000  4 Te 2.95
Ho 0.3089 0.3089 0.6434  3 Te 3.13-3.19
Ho 0.3398 0.3398 0.2148  4 Te 3.05-3.15
Ho 0.6602 0.6602 0.7852  4 Te 3.05-3.15
Ho 0.6911 0.6911 0.3566  3 Te 3.13-3.19
Te 0.1715 0.1715 0.0666  5 Ho 3.05-3.19, 1 Pm 3.06
Te 0.4846 0.4846 0.7351  4 Ho 2.95-3.14, 2 Pm 3.04
Te 0.5154 0.5154 0.2649  4 Ho 2.95-3.14, 2 Pm 3.04
Te 0.8285 0.8285 0.9334  5 Ho 3.05-3.19, 1 Pm 3.06

---

Which formula does entry 10 have? PmHo3Te6